DFT (PBE) results for a relaxed DyScAl3Si2 crystal.

a b c (Å): 5.355 5.355 6.511
angles (deg): 99.39 99.39 43.70
Atoms (fractional coordinates):
Al 0.694 0.694 0.370
Al 0.004 0.004 0.505
Al 0.303 0.303 0.638
Dy 0.381 0.381 0.177
Sc 0.618 0.618 0.820
Si 0.095 0.095 0.132
Si 0.905 0.905 0.858


DFT (PBE) results for a relaxed Dy2TmScAl2 crystal.

a b c (Å): 5.123 5.123 6.538
angles (deg): 90.00 90.00 120.00
Atoms (fractional coordinates):
Al 0.333 0.667 0.000
Al 0.000 0.000 0.500
Dy 0.667 0.333 0.244
Dy 0.667 0.333 0.756
Sc 0.000 0.000 0.000
Tm 0.333 0.667 0.500


DFT (PBE) results for a relaxed Dy4AlSe crystal.

a b c (Å): 8.190 8.190 8.190
angles (deg): 35.67 35.67 35.67
Atoms (fractional coordinates):
Al 0.500 0.500 0.500
Dy 0.129 0.129 0.129
Dy 0.374 0.374 0.374
Dy 0.626 0.626 0.626
Dy 0.871 0.871 0.871
Se 0.000 0.000 0.000


DFT (PBE) results for a relaxed Dy2AlSi crystal.

a b c (Å): 5.831 3.969 8.476
angles (deg): 90.00 107.57 90.00
Atoms (fractional coordinates):
Al 0.862 0.750 0.214
Al 0.138 0.250 0.786
Dy 0.298 0.750 0.076
Dy 0.219 0.250 0.433
Dy 0.781 0.750 0.567
Dy 0.702 0.250 0.924
Si 0.642 0.250 0.290
Si 0.358 0.750 0.710


The evaluated calculated volume for the records listed, in turn: 127; 149; 167; 187 Å³/cell.
The evaluated total energy for the records listed, in turn: -36.676; -29.188; -28.174; -20.954 eV/f.u..